Arrangement A

VASP calculation (PBE-GGA) on crystalline SrPmRu at its relaxed geometry.

Unit cell a=3.577 b=3.577 c=13.825 alpha=90.00 beta=90.00 gamma=90.00
Space group I4mm (No. 107)
Inequivalent atoms, fractional coordinates:
Sr1 0.000 0.000 0.000 (multiplicity 2)
Pm1 0.000 0.000 0.249 (multiplicity 2)
Ru1 0.000 0.000 0.644 (multiplicity 2)

***

Arrangement B

VASP calculation (PBE-GGA) on crystalline SrPmRu at its relaxed geometry.

Unit cell a=23.203 b=4.839 c=7.043 alpha=90.00 beta=91.53 gamma=90.00
Space group C2/m (No. 12)
Inequivalent atoms, fractional coordinates:
Sr1 0.078 0.000 0.223 (multiplicity 4)
Sr2 0.079 0.500 0.721 (multiplicity 4)
Pm1 0.203 0.500 0.360 (multiplicity 4)
Pm2 0.224 0.500 0.847 (multiplicity 4)
Ru1 0.169 0.000 0.561 (multiplicity 4)
Ru2 0.171 0.000 0.909 (multiplicity 4)

***

Most stable: arrangement B

***

Arrangement A

VASP calculation (PBE-GGA) on crystalline PmTaRu2 at its relaxed geometry.

Unit cell a=4.729 b=4.729 c=3.265 alpha=90.00 beta=90.00 gamma=90.00
Space group P4/mmm (No. 123)
Inequivalent atoms, fractional coordinates:
Pm1 0.000 0.000 0.000 (multiplicity 1)
Ta1 0.500 0.500 0.000 (multiplicity 1)
Ru1 0.000 0.500 0.500 (multiplicity 2)

***

Arrangement B

VASP calculation (PBE-GGA) on crystalline PmTaRu2 at its relaxed geometry.

Unit cell a=3.219 b=3.219 c=7.139 alpha=90.00 beta=90.00 gamma=90.00
Space group P4/mmm (No. 123)
Inequivalent atoms, fractional coordinates:
Pm1 0.000 0.000 0.000 (multiplicity 1)
Ta1 0.000 0.000 0.500 (multiplicity 1)
Ru1 0.500 0.500 0.291 (multiplicity 2)

***

Most stable: arrangement B